# PBE FeAgW, optimized geometry
# * ρ: 12.93 Mg/m³
# * energy relative to the lowest polymorph listed for this composition: 0.148 eV/atom
# * energy of formation: 165 kJ/mol of formula units
# * D(E_F): 0.82 states/eV per atom
data_FeAgW
_cell_length_a 2.664
_cell_length_b 4.045
_cell_length_c 8.283
_cell_angle_alpha 90.00
_cell_angle_beta 90.00
_cell_angle_gamma 90.00
_space_group_name_H-M_alt 'I m m 2'
_space_group_IT_number 44
loop_
_space_group_symop_operation_xyz
'x,y,z'
'-x,-y,z'
'-x,y,z'
'x,-y,z'
'x+1/2,y+1/2,z+1/2'
'-x+1/2,-y+1/2,z+1/2'
'-x+1/2,y+1/2,z+1/2'
'x+1/2,-y+1/2,z+1/2'
loop_
_atom_site_label
_atom_site_fract_x
_atom_site_fract_y
_atom_site_fract_z
Fe1 0.000 0.000 0.000
Ag1 0.000 0.000 0.331
W1 0.000 0.000 0.657

# PBE MgBeInP2, optimized geometry
# * ρ: 3.68 Mg/m³
# * energy of formation: 187 kJ/mol of formula units
# * D(E_F): 0.53 states/eV per atom
data_MgBeInP2
_cell_length_a 4.296
_cell_length_b 4.296
_cell_length_c 5.141
_cell_angle_alpha 90.00
_cell_angle_beta 90.00
_cell_angle_gamma 90.00
_space_group_name_H-M_alt 'P 4/m m m'
_space_group_IT_number 123
_space_group_name_Hall '-P 4 2'
loop_
_atom_site_label
_atom_site_fract_x
_atom_site_fract_y
_atom_site_fract_z
Mg1 0.000 0.000 0.000
Be1 0.000 0.000 0.500
In1 0.500 0.500 0.000
P1 0.000 0.500 0.500

# PBE Zr4TlBi2, optimized geometry
# * ρ: 9.56 Mg/m³
# * energy of formation: -153 kJ/mol of formula units
# * D(E_F): 0.88 states/eV per atom
data_Zr4TlBi2
_cell_length_a 8.809
_cell_length_b 8.809
_cell_length_c 8.840
_cell_angle_alpha 90.00
_cell_angle_beta 90.00
_cell_angle_gamma 90.00
_space_group_name_H-M_alt 'I -4 2 d'
_space_group_IT_number 122
_space_group_name_Hall 'I -4 2bw'
loop_
_atom_site_label
_atom_site_fract_x
_atom_site_fract_y
_atom_site_fract_z
Zr1 0.077 0.174 0.297
Tl1 0.000 0.000 0.000
Bi1 0.125 0.250 0.625

# PBE PmTl2Rh, optimized geometry
# * ρ: 11.37 Mg/m³
# * energy relative to the lowest polymorph listed for this composition: 0.000 eV/atom
# * energy of formation: -141 kJ/mol of formula units
# * D(E_F): 0.70 states/eV per atom
data_PmTl2Rh
_cell_length_a 4.683
_cell_length_b 4.683
_cell_length_c 17.487
_cell_angle_alpha 90.00
_cell_angle_beta 90.00
_cell_angle_gamma 90.00
_space_group_name_H-M_alt 'I 4/m m m'
_space_group_IT_number 139
_space_group_name_Hall '-I 4 2'
loop_
_atom_site_label
_atom_site_fract_x
_atom_site_fract_y
_atom_site_fract_z
Pm1 0.000 0.000 0.143
Tl1 0.000 0.000 0.349
Tl2 0.000 0.500 0.000
Rh1 0.000 0.500 0.250

Q: ρ of number 2 (MgBeInP2)?
A: 3.68 Mg/m³

Q: What is the D(E_F) in the fourth record?
A: 0.70 states/eV per atom

Q: The highest energy of formation belongs to which entry?
A: MgBeInP2

Q: Which value of ρ does entry 1 give?
A: 12.93 Mg/m³